Record 1
Below is a geometry-optimized Sm2Gd structure, with properties calculated at the GGA-PBE level.

POSCAR file:
```
Sm2Gd
1.0
6.6640 0.0000 0.0000
3.3320 5.7712 0.0000
3.3320 1.9237 5.4411
Sm Gd
4 2
Direct
0.1250 0.6250 0.6250
0.6250 0.6250 0.1250
0.6250 0.6250 0.6250
0.6250 0.1250 0.6250
0.2500 0.2500 0.2500
0.0000 0.0000 0.0000
```

**E_form**: 0.239 eV/atom
**Total DFT energy (no corrections)**: -7.6008 eV per atom
**Total magnetic moment**: 15.2 μB/cell
**N(E_F)**: 2.041 states/eV/atom

---

Record 2
Below is a geometry-optimized Sm3Gd structure, with properties calculated at the GGA-PBE level.

POSCAR file:
```
Sm3Gd
1.0
-2.1077 -4.6568 0.2990
4.4102 -1.8807 1.7976
-2.6747 4.2653 3.7321
Sm Gd
3 1
Direct
0.7500 0.2500 0.5000
0.5000 0.5000 0.0000
0.2500 0.7500 0.5000
0.0000 0.0000 0.0000
```

**E_form**: 0.013 eV/atom
**Total DFT energy (no corrections)**: -7.0469 eV per atom
**Total magnetic moment**: 7.2 μB/cell
**N(E_F)**: 1.566 states/eV/atom

---

Record 3
Below is a geometry-optimized Sm2Gd structure, with properties calculated at the GGA-PBE level.

POSCAR file:
```
Sm2Gd
1.0
-1.0766 2.1963 -3.4357
-3.8374 0.6555 1.6221
4.3202 3.3339 3.3738
Sm Gd
2 1
Direct
0.8368 0.8368 0.6730
0.1632 0.1632 0.3270
0.5000 0.5000 0.0000
```

**E_form**: 0.106 eV/atom
**Total DFT energy (no corrections)**: -7.7341 eV per atom
**Total magnetic moment**: 8.2 μB/cell
**N(E_F)**: 1.977 states/eV/atom

---

Record 4
Below is a geometry-optimized SmGd2 structure, with properties calculated at the GGA-PBE level.

POSCAR file:
```
SmGd2
1.0
4.1750 0.0000 0.0000
0.0000 4.1750 0.0000
-2.0875 -2.0875 5.7053
Gd Sm
2 1
Direct
0.3309 0.3309 0.6618
0.6691 0.6691 0.3382
0.0000 0.0000 0.0000
```

**E_form**: 0.088 eV/atom
**Total DFT energy (no corrections)**: -10.8724 eV per atom
**Total magnetic moment**: 15.7 μB/cell
**N(E_F)**: 1.663 states/eV/atom

---

Record 5
Below is a geometry-optimized Sm3Gd structure, with properties calculated at the GGA-PBE level.

POSCAR file:
```
Sm3Gd
1.0
-3.5443 -0.5031 0.7835
1.0579 -5.6097 1.1837
1.1290 1.4930 6.0663
Sm Gd
3 1
Direct
0.0000 0.0000 0.9997
0.5000 0.0000 0.5001
0.5000 0.5000 0.8332
0.0000 0.5000 0.3337
```

**E_form**: 0.020 eV/atom
**Total DFT energy (no corrections)**: -7.0395 eV per atom
**Total magnetic moment**: 7.7 μB/cell
**N(E_F)**: 1.802 states/eV/atom

---

Record 6
Below is a geometry-optimized SmGd2 structure, with properties calculated at the GGA-PBE level.

POSCAR file:
```
SmGd2
1.0
6.6229 0.0000 0.0000
3.3115 5.7356 0.0000
3.3115 1.9119 5.4076
Sm Gd
2 4
Direct
0.0000 0.0000 0.0000
0.2500 0.2500 0.2500
0.1250 0.6250 0.6250
0.6250 0.6250 0.6250
0.6250 0.6250 0.1250
0.6250 0.1250 0.6250
```

**E_form**: 0.261 eV/atom
**Total DFT energy (no corrections)**: -10.6997 eV per atom
**Total magnetic moment**: 28.5 μB/cell
**N(E_F)**: 2.242 states/eV/atom